Entry from Alexandria via LeMat-Bulk: ZrAsPdSe2 after structural relaxation (PBE).

Geometry as POSCAR:
```
ZrAsPdSe2
1.0
4.874 0.000 0.000
0.000 4.874 0.000
0.000 0.000 4.809
As Se Pd Zr
1 2 1 1
direct
0.000 0.000 0.500
0.000 0.500 0.000
0.500 0.000 0.000
0.000 0.000 0.000
0.500 0.500 0.500
```

Computed properties:
Its calculated density is 6.26 Mg/m³. The value obtained for the calculated total energy is -4.900 eV per atom. Its uncorrected formation energy is 0.17 eV/atom.

Entry from Alexandria via LeMat-Bulk: ZrAsPdSe2 after structural relaxation (PBE).

Geometry as POSCAR:
```
ZrAsPdSe2
1.0
5.146 0.000 0.000
0.000 5.146 0.000
0.000 0.000 5.234
Se Pd As Zr
2 1 1 1
direct
0.000 0.500 0.000
0.500 0.000 0.000
0.500 0.500 0.500
0.000 0.000 0.500
0.000 0.000 0.000
```

Computed properties:
Its calculated density is 5.16 Mg/m³. The value obtained for the calculated total energy is -4.916 eV per atom. Its uncorrected formation energy is 0.16 eV/atom.

calculated density of number 1 (ZrAsPdSe2)? 6.26 Mg/m³